# 1
The following is a DFT calculation (PBE) of a geometry-optimized La2Si3NiPt12 structure.

Size of the total moment in μB per formula unit: 0.00
DFT total energy in eV for the cell shown: -113.38
D(E_F) in states/eV/f.u.: 7.56

```
data_La2Si3NiPt12
_cell_length_a 7.788
_cell_length_b 7.788
_cell_length_c 7.788
_cell_angle_alpha 63.21
_cell_angle_beta 63.21
_cell_angle_gamma 63.21
_symmetry_space_group_name_H-M 'P 1'
_symmetry_Int_Tables_number 1
loop_
_symmetry_equiv_pos_as_xyz
'x,y,z'
loop_
_atom_site_label
_atom_site_fract_x
_atom_site_fract_y
_atom_site_fract_z
La1 0.623 0.623 0.623
La2 0.377 0.377 0.377
Si1 0.500 0.000 0.000
Si2 0.000 0.500 0.000
Si3 0.000 0.000 0.500
Ni1 0.000 0.000 0.000
Pt1 0.358 0.358 0.893
Pt2 0.879 0.879 0.367
Pt3 0.367 0.879 0.879
Pt4 0.893 0.358 0.358
Pt5 0.879 0.367 0.879
Pt6 0.358 0.893 0.358
Pt7 0.642 0.642 0.107
Pt8 0.121 0.121 0.633
Pt9 0.633 0.121 0.121
Pt10 0.107 0.642 0.642
Pt11 0.121 0.633 0.121
Pt12 0.642 0.107 0.642
```

***

# 2
The following is a DFT calculation (PBE) of a geometry-optimized BaTlS2I structure.

Size of the total moment in μB per formula unit: 0.00
DFT total energy in eV for the cell shown: -16.03
D(E_F) in states/eV/f.u.: 1.63

```
data_BaTlS2I
_cell_length_a 5.130
_cell_length_b 7.159
_cell_length_c 5.130
_cell_angle_alpha 90.00
_cell_angle_beta 90.00
_cell_angle_gamma 90.00
_symmetry_space_group_name_H-M 'P 1'
_symmetry_Int_Tables_number 1
loop_
_symmetry_equiv_pos_as_xyz
'x,y,z'
loop_
_atom_site_label
_atom_site_fract_x
_atom_site_fract_y
_atom_site_fract_z
I1 0.500 0.500 0.500
Tl1 0.000 0.000 0.000
S1 0.000 0.000 0.500
S2 0.500 0.000 0.000
Ba1 0.000 0.500 0.000
```

***

# 3
The following is a DFT calculation (PBE) of a geometry-optimized SrCa3As structure.

Offset from the most stable computed form in kJ/mol of formula units: 748
E_form in meV per atom: 1076.5
Size of the total moment in μB per formula unit: 2.99
DFT total energy in eV for the cell shown: -6.95
D(E_F) in states/eV/f.u.: 4.08

```
data_SrCa3As
_cell_length_a 6.081
_cell_length_b 6.081
_cell_length_c 6.081
_cell_angle_alpha 90.00
_cell_angle_beta 90.00
_cell_angle_gamma 90.00
_symmetry_space_group_name_H-M 'P 1'
_symmetry_Int_Tables_number 1
loop_
_symmetry_equiv_pos_as_xyz
'x,y,z'
loop_
_atom_site_label
_atom_site_fract_x
_atom_site_fract_y
_atom_site_fract_z
Sr1 0.000 0.000 0.000
As1 0.500 0.500 0.500
Ca1 0.000 0.500 0.000
Ca2 0.000 0.000 0.500
Ca3 0.500 0.000 0.000
```

***

# 4
The following is a DFT calculation (PBE) of a geometry-optimized Pr3Nd2Tl4 structure.

Offset from the most stable computed form in kJ/mol of formula units: 0
E_form in meV per atom: -315.9
Size of the total moment in μB per formula unit: 0.00
DFT total energy in eV for the cell shown: -36.18
D(E_F) in states/eV/f.u.: 10.61

```
data_Pr3Nd2Tl4
_cell_length_a 5.482
_cell_length_b 5.481
_cell_length_c 10.745
_cell_angle_alpha 90.01
_cell_angle_beta 90.00
_cell_angle_gamma 60.00
_symmetry_space_group_name_H-M 'P 1'
_symmetry_Int_Tables_number 1
loop_
_symmetry_equiv_pos_as_xyz
'x,y,z'
loop_
_atom_site_label
_atom_site_fract_x
_atom_site_fract_y
_atom_site_fract_z
Pr1 0.333 0.333 0.422
Pr2 0.000 0.000 0.000
Pr3 0.667 0.667 0.578
Nd1 0.333 0.333 0.781
Nd2 0.667 0.667 0.219
Tl1 0.667 0.667 0.898
Tl2 0.000 0.000 0.347
Tl3 0.000 0.000 0.653
Tl4 0.333 0.333 0.102
```

***

# 5
The following is a DFT calculation (PBE) of a geometry-optimized SrAc3Ag4 structure.

E_form in meV per atom: -263.9
Size of the total moment in μB per formula unit: 0.00
DFT total energy in eV for the cell shown: -55.05
D(E_F) in states/eV/f.u.: 5.07

```
data_SrAc3Ag4
_cell_length_a 5.606
_cell_length_b 7.870
_cell_length_c 11.211
_cell_angle_alpha 90.00
_cell_angle_beta 90.00
_cell_angle_gamma 90.00
_symmetry_space_group_name_H-M 'P 1'
_symmetry_Int_Tables_number 1
loop_
_symmetry_equiv_pos_as_xyz
'x,y,z'
loop_
_atom_site_label
_atom_site_fract_x
_atom_site_fract_y
_atom_site_fract_z
Sr1 0.000 0.500 0.000
Sr2 0.000 0.500 0.500
Ac1 0.000 0.000 0.000
Ac2 0.000 0.000 0.500
Ac3 0.500 0.000 0.750
Ac4 0.500 0.000 0.250
Ac5 0.500 0.500 0.750
Ac6 0.500 0.500 0.250
Ag1 0.500 0.753 0.000
Ag2 0.500 0.753 0.500
Ag3 0.500 0.247 0.000
Ag4 0.500 0.247 0.500
Ag5 0.001 0.753 0.750
Ag6 0.999 0.753 0.250
Ag7 0.999 0.247 0.250
Ag8 0.001 0.247 0.750
```

***

# 6
The following is a DFT calculation (PBE) of a geometry-optimized LiTiInSn structure.

Offset from the most stable computed form in kJ/mol of formula units: 45
E_form in meV per atom: -101.9
Size of the total moment in μB per formula unit: 1.45
DFT total energy in eV for the cell shown: -16.96
D(E_F) in states/eV/f.u.: 4.03

```
data_LiTiInSn
_cell_length_a 4.842
_cell_length_b 4.842
_cell_length_c 4.842
_cell_angle_alpha 60.00
_cell_angle_beta 60.00
_cell_angle_gamma 60.00
_symmetry_space_group_name_H-M 'P 1'
_symmetry_Int_Tables_number 1
loop_
_symmetry_equiv_pos_as_xyz
'x,y,z'
loop_
_atom_site_label
_atom_site_fract_x
_atom_site_fract_y
_atom_site_fract_z
Ti1 0.000 0.000 0.000
Li1 0.500 0.500 0.500
Sn1 0.750 0.750 0.750
In1 0.250 0.250 0.250
```

***

# 7
The following is a DFT calculation (PBE) of a geometry-optimized Dy3AuI3 structure.

Size of the total moment in μB per formula unit: 0.00
DFT total energy in eV for the cell shown: -115.87
D(E_F) in states/eV/f.u.: 4.81

```
data_Dy3AuI3
_cell_length_a 10.681
_cell_length_b 10.681
_cell_length_c 10.681
_cell_angle_alpha 109.47
_cell_angle_beta 109.47
_cell_angle_gamma 109.47
_symmetry_space_group_name_H-M 'P 1'
_symmetry_Int_Tables_number 1
loop_
_symmetry_equiv_pos_as_xyz
'x,y,z'
loop_
_atom_site_label
_atom_site_fract_x
_atom_site_fract_y
_atom_site_fract_z
Dy1 0.960 0.480 0.230
Dy2 0.520 0.040 0.270
Dy3 0.250 0.020 0.480
Dy4 0.980 0.750 0.020
Dy5 0.980 0.230 0.460
Dy6 0.770 0.020 0.040
Dy7 0.730 0.460 0.480
Dy8 0.770 0.750 0.230
Dy9 0.540 0.270 0.020
Dy10 0.250 0.230 0.270
Dy11 0.730 0.270 0.750
Dy12 0.520 0.480 0.750
Au1 0.750 0.500 0.000
Au2 0.500 0.250 0.500
Au3 0.750 0.250 0.250
Au4 0.000 0.000 0.250
I1 0.243 0.993 0.987
I2 0.750 0.757 0.743
I3 0.487 0.743 0.993
I4 0.007 0.250 0.993
I5 0.257 0.743 0.250
I6 0.493 0.507 0.250
I7 0.243 0.250 0.757
I8 0.257 0.513 0.507
I9 0.750 0.993 0.507
I10 0.013 0.507 0.757
I11 0.007 0.757 0.513
I12 0.493 0.987 0.743
```

***

# 8
The following is a DFT calculation (PBE) of a geometry-optimized V3RhS8 structure.

Size of the total moment in μB per formula unit: 0.44
DFT total energy in eV for the cell shown: -76.07
D(E_F) in states/eV/f.u.: 5.48

```
data_V3RhS8
_cell_length_a 6.402
_cell_length_b 6.401
_cell_length_c 7.528
_cell_angle_alpha 115.50
_cell_angle_beta 90.00
_cell_angle_gamma 120.00
_symmetry_space_group_name_H-M 'P 1'
_symmetry_Int_Tables_number 1
loop_
_symmetry_equiv_pos_as_xyz
'x,y,z'
loop_
_atom_site_label
_atom_site_fract_x
_atom_site_fract_y
_atom_site_fract_z
V1 0.500 0.000 0.000
V2 0.500 0.500 0.000
V3 0.000 0.500 0.000
Rh1 0.000 0.000 0.000
S1 0.258 0.516 0.777
S2 0.742 0.484 0.223
S3 0.261 0.015 0.773
S4 0.755 0.015 0.773
S5 0.755 0.509 0.773
S6 0.245 0.491 0.227
S7 0.245 0.985 0.227
S8 0.739 0.985 0.227
```

***

# 9
The following is a DFT calculation (PBE) of a geometry-optimized BaZrTl2Ga structure.

E_form in meV per atom: 1301.7
Size of the total moment in μB per formula unit: 0.00
DFT total energy in eV for the cell shown: -11.72
D(E_F) in states/eV/f.u.: 6.32

```
data_BaZrTl2Ga
_cell_length_a 6.242
_cell_length_b 5.626
_cell_length_c 6.242
_cell_angle_alpha 90.00
_cell_angle_beta 90.00
_cell_angle_gamma 90.00
_symmetry_space_group_name_H-M 'P 1'
_symmetry_Int_Tables_number 1
loop_
_symmetry_equiv_pos_as_xyz
'x,y,z'
loop_
_atom_site_label
_atom_site_fract_x
_atom_site_fract_y
_atom_site_fract_z
Tl1 0.000 0.000 0.500
Tl2 0.500 0.000 0.000
Ga1 0.500 0.500 0.500
Ba1 0.000 0.000 0.000
Zr1 0.000 0.500 0.000
```

***

# 10
The following is a DFT calculation (PBE) of a geometry-optimized Y2ThMg structure.

Offset from the most stable computed form in kJ/mol of formula units: 83
E_form in meV per atom: 165.1
Size of the total moment in μB per formula unit: 1.50
DFT total energy in eV for the cell shown: -21.28
D(E_F) in states/eV/f.u.: 6.21

```
data_Y2ThMg
_cell_length_a 5.566
_cell_length_b 5.566
_cell_length_c 5.566
_cell_angle_alpha 60.00
_cell_angle_beta 60.00
_cell_angle_gamma 60.00
_symmetry_space_group_name_H-M 'P 1'
_symmetry_Int_Tables_number 1
loop_
_symmetry_equiv_pos_as_xyz
'x,y,z'
loop_
_atom_site_label
_atom_site_fract_x
_atom_site_fract_y
_atom_site_fract_z
Y1 0.250 0.250 0.250
Y2 0.750 0.750 0.750
Mg1 0.500 0.500 0.500
Th1 0.000 0.000 0.000
```

***

# 11
The following is a DFT calculation (PBE) of a geometry-optimized KSb2As structure.

Size of the total moment in μB per formula unit: 0.00
DFT total energy in eV for the cell shown: -13.91
D(E_F) in states/eV/f.u.: 2.52

```
data_KSb2As
_cell_length_a 3.541
_cell_length_b 3.541
_cell_length_c 9.342
_cell_angle_alpha 90.00
_cell_angle_beta 90.00
_cell_angle_gamma 90.00
_symmetry_space_group_name_H-M 'P 1'
_symmetry_Int_Tables_number 1
loop_
_symmetry_equiv_pos_as_xyz
'x,y,z'
loop_
_atom_site_label
_atom_site_fract_x
_atom_site_fract_y
_atom_site_fract_z
As1 0.000 0.000 0.453
K1 0.500 0.500 0.720
Sb1 0.000 0.000 0.017
Sb2 0.500 0.500 0.310
```

***

# 12
The following is a DFT calculation (PBE) of a geometry-optimized YCu2Os structure.

Offset from the most stable computed form in kJ/mol of formula units: 40
E_form in meV per atom: 204.3
Size of the total moment in μB per formula unit: 0.00
DFT total energy in eV for the cell shown: -25.07
D(E_F) in states/eV/f.u.: 3.02

```
data_YCu2Os
_cell_length_a 5.076
_cell_length_b 5.076
_cell_length_c 5.076
_cell_angle_alpha 138.62
_cell_angle_beta 129.87
_cell_angle_gamma 66.96
_symmetry_space_group_name_H-M 'P 1'
_symmetry_Int_Tables_number 1
loop_
_symmetry_equiv_pos_as_xyz
'x,y,z'
loop_
_atom_site_label
_atom_site_fract_x
_atom_site_fract_y
_atom_site_fract_z
Cu1 0.985 0.985 0.000
Cu2 0.755 0.255 0.500
Os1 0.512 0.512 0.000
Y1 0.248 0.748 0.500
```

***

Q: Which of these has the highest D(E_F)?
A: Pr3Nd2Tl4

***

Q: Look up the DFT total energy of the eleventh one.
A: -13.91 eV for the cell shown

***

Copy entry 6 word for word.
The following is a DFT calculation (PBE) of a geometry-optimized LiTiInSn structure.

Offset from the most stable computed form in kJ/mol of formula units: 45
E_form in meV per atom: -101.9
Size of the total moment in μB per formula unit: 1.45
DFT total energy in eV for the cell shown: -16.96
D(E_F) in states/eV/f.u.: 4.03

```
data_LiTiInSn
_cell_length_a 4.842
_cell_length_b 4.842
_cell_length_c 4.842
_cell_angle_alpha 60.00
_cell_angle_beta 60.00
_cell_angle_gamma 60.00
_symmetry_space_group_name_H-M 'P 1'
_symmetry_Int_Tables_number 1
loop_
_symmetry_equiv_pos_as_xyz
'x,y,z'
loop_
_atom_site_label
_atom_site_fract_x
_atom_site_fract_y
_atom_site_fract_z
Ti1 0.000 0.000 0.000
Li1 0.500 0.500 0.500
Sn1 0.750 0.750 0.750
In1 0.250 0.250 0.250
```